Here is an optimized crystal structure of Sr2PBr from Alexandria via LeMat-Bulk. Energies are from GGA-PBE.

a b c (Å): 3.873 3.951 8.212
angles (deg): 89.32 90.00 90.00
Positions (direct):
Br 0.500 0.250 0.250
P 0.500 0.750 0.750
Sr 0.000 0.245 0.944
Sr 0.000 0.255 0.556

Properties
- crystal system = monoclinic
- uncorrected energy (eV per atom) = -3.953
- space group = P2/m, No. 10
- uncorrected formation energy (eV per atom) = -1.34

Here is an optimized crystal structure of Sr2PBr from Alexandria via LeMat-Bulk. Energies are from GGA-PBE.

a b c (Å): 6.270 6.270 4.851
angles (deg): 89.99 89.99 38.36
Positions (direct):
Br 0.505 0.505 0.375
P 0.743 0.743 0.875
Sr 0.002 0.002 0.875
Sr 0.250 0.250 0.375

Properties
- crystal system = orthorhombic
- uncorrected energy (eV per atom) = -3.917
- space group = Amm2, No. 38
- uncorrected formation energy (eV per atom) = -1.31

Here is an optimized crystal structure of SrPBr3 from Alexandria via LeMat-Bulk. Energies are from GGA-PBE.

a b c (Å): 5.340 5.340 5.340
angles (deg): 90.00 90.00 90.00
Positions (direct):
Sr 0.500 0.500 0.500
Br 0.000 0.500 0.000
Br 0.000 0.000 0.500
Br 0.500 0.000 0.000
P 0.000 0.000 0.000

Properties
- crystal system = cubic
- uncorrected energy (eV per atom) = -3.052
- space group = Pm-3m, No. 221
- uncorrected formation energy (eV per atom) = -0.63

Here is an optimized crystal structure of Sr2PBr from Alexandria via LeMat-Bulk. Energies are from GGA-PBE.

a b c (Å): 4.420 4.420 8.198
angles (deg): 74.36 74.36 60.00
Positions (direct):
Sr 0.069 0.069 0.794
Sr 0.267 0.267 0.199
P 0.668 0.668 0.997
Br 0.497 0.497 0.510

Properties
- crystal system = trigonal
- uncorrected energy (eV per atom) = -4.142
- space group = R3m, No. 160
- uncorrected formation energy (eV per atom) = -1.53

Here is an optimized crystal structure of Sr2P2Br from Alexandria via LeMat-Bulk. Energies are from GGA-PBE.

a b c (Å): 8.413 8.413 3.823
angles (deg): 90.00 90.00 90.00
Positions (direct):
Sr 0.192 0.692 0.500
Sr 0.692 0.808 0.500
Sr 0.808 0.308 0.500
Sr 0.308 0.192 0.500
Br 0.000 0.000 0.000
Br 0.500 0.500 0.000
P 0.410 0.910 0.000
P 0.910 0.590 0.000
P 0.590 0.090 0.000
P 0.090 0.410 0.000

Properties
- crystal system = tetragonal
- uncorrected energy (eV per atom) = -4.250
- space group = P4/mbm, No. 127
- uncorrected formation energy (eV per atom) = -1.08

Here is an optimized crystal structure of Sr2PBr from Alexandria via LeMat-Bulk. Energies are from GGA-PBE.

a b c (Å): 6.146 4.493 4.495
angles (deg): 90.01 90.00 90.00
Positions (direct):
Br 0.000 0.375 0.375
P 0.500 0.875 0.875
Sr 0.000 0.875 0.875
Sr 0.500 0.375 0.375

Properties
- crystal system = tetragonal
- uncorrected energy (eV per atom) = -4.052
- space group = P4/mmm, No. 123
- uncorrected formation energy (eV per atom) = -1.44

Here is an optimized crystal structure of Sr4PBr6 from Alexandria via LeMat-Bulk. Energies are from GGA-PBE.

a b c (Å): 7.322 10.420 10.420
angles (deg): 90.00 90.00 90.00
Each line ends with the local moment (μB).
Positions (direct):
Sr 0.320 0.000 0.258  0.01
Sr 0.820 0.758 0.500  0.01
Sr 0.820 0.242 0.500  0.01
Sr 0.320 0.000 0.742  0.01
Sr 0.180 0.500 0.758  0.01
Sr 0.680 0.258 0.000  0.01
Sr 0.680 0.742 0.000  0.01
Sr 0.180 0.500 0.242  0.01
P 0.000 0.500 0.500  0.34
P 0.500 0.000 0.000  0.34
Br 0.500 0.708 0.292  0.00
Br 0.500 0.292 0.292  0.00
Br 0.076 0.000 0.500  0.00
Br 0.576 0.000 0.500  0.00
Br 0.500 0.292 0.708  0.00
Br 0.500 0.708 0.708  0.00
Br 0.000 0.792 0.792  0.00
Br 0.000 0.208 0.792  0.00
Br 0.924 0.500 0.000  0.00
Br 0.424 0.500 0.000  0.00
Br 0.000 0.792 0.208  0.00
Br 0.000 0.208 0.208  0.00

Properties
- crystal system = tetragonal
- uncorrected energy (eV per atom) = -3.810
- space group = P4_2/nmc, No. 137
- uncorrected formation energy (eV per atom) = -1.79

Here is an optimized crystal structure of Sr4PBr4 from Alexandria via LeMat-Bulk. Energies are from GGA-PBE.

a b c (Å): 4.465 7.759 9.898
angles (deg): 75.49 76.96 73.28
Positions (direct):
Sr 0.309 0.102 0.281
Sr 0.691 0.898 0.719
Sr 0.915 0.264 0.905
Sr 0.085 0.736 0.095
P 0.500 0.000 0.000
Br 0.696 0.410 0.198
Br 0.888 0.819 0.405
Br 0.304 0.590 0.802
Br 0.112 0.181 0.595

Properties
- crystal system = monoclinic
- uncorrected energy (eV per atom) = -3.820
- space group = C2/m, No. 12
- uncorrected formation energy (eV per atom) = -1.73

Here is an optimized crystal structure of SrTaPBr2 from Alexandria via LeMat-Bulk. Energies are from GGA-PBE.

a b c (Å): 5.249 4.905 5.249
angles (deg): 90.00 90.00 90.00
Each line ends with the local moment (μB).
Positions (direct):
Sr 0.500 0.500 0.500  0.01
P 0.000 0.500 0.000  -0.01
Br 0.000 0.000 0.500  0.01
Br 0.500 0.000 0.000  0.03
Ta 0.000 0.000 0.000  0.42

Properties
- crystal system = tetragonal
- uncorrected energy (eV per atom) = -4.985
- space group = P4/mmm, No. 123
- uncorrected formation energy (eV per atom) = -0.53

Here is an optimized crystal structure of Sr6TeP2Br3 from Alexandria via LeMat-Bulk. Energies are from GGA-PBE.

a b c (Å): 4.531 9.149 10.156
angles (deg): 102.44 102.89 90.00
Positions (direct):
Sr 0.331 0.880 0.663
Sr 0.677 0.561 0.353
Sr 0.669 0.120 0.337
Sr 0.014 0.257 0.028
Sr 0.986 0.743 0.972
Sr 0.323 0.439 0.647
Te 0.500 0.000 0.000
P 0.832 0.664 0.665
P 0.168 0.336 0.335
Br 0.500 0.500 0.000
Br 0.836 0.165 0.672
Br 0.164 0.835 0.328

Properties
- crystal system = monoclinic
- uncorrected energy (eV per atom) = -3.993
- space group = C2/m, No. 12
- uncorrected formation energy (eV per atom) = -1.57

Here is an optimized crystal structure of Sr4TePBr2 from Alexandria via LeMat-Bulk. Energies are from GGA-PBE.

a b c (Å): 4.564 7.837 8.037
angles (deg): 70.33 90.00 90.00
Positions (direct):
Sr 0.000 0.729 0.733
Sr 0.000 0.271 0.267
Sr 0.500 0.719 0.280
Sr 0.500 0.281 0.720
Te 0.500 0.500 0.000
P 0.000 0.500 0.500
Br 0.000 0.000 0.000
Br 0.500 0.000 0.500

Properties
- crystal system = monoclinic
- uncorrected energy (eV per atom) = -3.893
- space group = P2/m, No. 10
- uncorrected formation energy (eV per atom) = -1.56

Here is an optimized crystal structure of Sr4Te2PBr from Alexandria via LeMat-Bulk. Energies are from GGA-PBE.

a b c (Å): 4.622 7.976 7.988
angles (deg): 71.26 90.00 90.00
Positions (direct):
Sr 0.000 0.742 0.728
Sr 0.000 0.258 0.272
Sr 0.500 0.728 0.274
Sr 0.500 0.272 0.726
Te 0.000 0.000 0.000
Te 0.500 0.000 0.500
P 0.000 0.500 0.500
Br 0.500 0.500 0.000

Properties
- crystal system = monoclinic
- uncorrected energy (eV per atom) = -4.125
- space group = P2/m, No. 10
- uncorrected formation energy (eV per atom) = -1.61

Here is an optimized crystal structure of Sr2TlPBr from Alexandria via LeMat-Bulk. Energies are from GGA-PBE.

a b c (Å): 5.869 5.553 5.869
angles (deg): 90.00 90.00 90.00
Positions (direct):
Sr 0.000 0.000 0.500
Sr 0.500 0.000 0.000
Tl 0.000 0.500 0.000
Br 0.500 0.500 0.500
P 0.000 0.000 0.000

Properties
- crystal system = tetragonal
- uncorrected energy (eV per atom) = -3.225
- space group = P4/mmm, No. 123
- uncorrected formation energy (eV per atom) = -0.66

Here is an optimized crystal structure of SrV2PBr from Alexandria via LeMat-Bulk. Energies are from GGA-PBE.

a b c (Å): 5.307 5.194 5.307
angles (deg): 90.00 90.00 90.00
Each line ends with the local moment (μB).
Positions (direct):
Sr 0.000 0.000 0.000  -0.01
P 0.000 0.500 0.000  -0.14
Br 0.500 0.500 0.500  -0.05
V 0.000 0.000 0.500  -0.01
V 0.500 0.000 0.000  0.45

Properties
- crystal system = tetragonal
- uncorrected energy (eV per atom) = -3.150
- space group = P4/mmm, No. 123
- uncorrected formation energy (eV per atom) = 2.25

Here is an optimized crystal structure of Ta2PBr from Alexandria via LeMat-Bulk. Energies are from GGA-PBE.

a b c (Å): 7.135 7.135 7.135
angles (deg): 150.23 152.48 40.98
Positions (direct):
Br 0.537 0.537 0.000
P 0.791 0.291 0.500
Ta 0.914 0.914 0.000
Ta 0.258 0.758 0.500

Properties
- crystal system = orthorhombic
- uncorrected energy (eV per atom) = -7.878
- space group = Imm2, No. 44
- uncorrected formation energy (eV per atom) = -0.18

Here is an optimized crystal structure of Ta2PBr from Alexandria via LeMat-Bulk. Energies are from GGA-PBE.

a b c (Å): 2.954 5.884 4.274
angles (deg): 90.00 90.00 90.00
Positions (direct):
Br 0.500 0.000 0.500
P 0.000 0.500 0.500
Ta 0.000 0.000 0.000
Ta 0.500 0.500 0.000

Properties
- crystal system = orthorhombic
- uncorrected energy (eV per atom) = -7.257
- space group = Pmmm, No. 47
- uncorrected formation energy (eV per atom) = 0.44

Here is an optimized crystal structure of Ta2PBr from Alexandria via LeMat-Bulk. Energies are from GGA-PBE.

a b c (Å): 7.123 7.123 5.899
angles (deg): 52.86 52.86 90.00
Positions (direct):
P 0.500 0.500 0.000
P 0.250 0.750 0.500
Br 0.000 0.000 0.000
Br 0.750 0.250 0.500
Ta 0.577 0.125 0.250
Ta 0.173 0.625 0.250
Ta 0.375 0.423 0.750
Ta 0.875 0.827 0.750

Properties
- crystal system = tetragonal
- uncorrected energy (eV per atom) = -7.174
- space group = I-42d, No. 122
- uncorrected formation energy (eV per atom) = 0.52

Here is an optimized crystal structure of TaPBr4 from Alexandria via LeMat-Bulk. Energies are from GGA-PBE.

a b c (Å): 5.909 5.909 5.909
angles (deg): 60.00 60.00 60.00
Each line ends with the local moment (μB).
Positions (direct):
Ta 0.000 0.000 0.000  -1.39
P 0.750 0.750 0.750  0.51
Br 0.877 0.374 0.374  0.03
Br 0.374 0.374 0.877  0.03
Br 0.374 0.877 0.374  0.03
Br 0.374 0.374 0.374  0.03

Properties
- crystal system = cubic
- uncorrected energy (eV per atom) = -2.472
- space group = F-43m, No. 216
- uncorrected formation energy (eV per atom) = 1.52

Here is an optimized crystal structure of Ta2PBr from Alexandria via LeMat-Bulk. Energies are from GGA-PBE.

a b c (Å): 4.673 4.673 5.533
angles (deg): 75.39 75.39 41.39
Positions (direct):
Br 0.491 0.491 0.508
P 0.274 0.274 0.108
Ta 0.992 0.992 0.096
Ta 0.742 0.742 0.789

Properties
- crystal system = monoclinic
- uncorrected energy (eV per atom) = -7.730
- space group = Cm, No. 8
- uncorrected formation energy (eV per atom) = -0.03

Here is an optimized crystal structure of Ta2PBr from Alexandria via LeMat-Bulk. Energies are from GGA-PBE.

a b c (Å): 5.745 5.407 2.998
angles (deg): 70.96 95.30 123.84
Positions (direct):
Br 0.000 0.500 0.500
P 0.500 0.500 0.000
Ta 0.000 0.000 0.000
Ta 0.500 0.000 0.500

Properties
- crystal system = monoclinic
- uncorrected energy (eV per atom) = -7.260
- space group = C2/m, No. 12
- uncorrected formation energy (eV per atom) = 0.44